This record from Alexandria via LeMat-Bulk describes a geometry-optimized MnSbO2 structure. The functional is PBE+U. Values from VASP.

volume	14.56	A^3/atom
total DFT energy (no corrections)	-0.484	Ry/atom

```
&SYSTEM
  ibrav = 0, nat = 12, ntyp = 3
/
ATOMIC_SPECIES
Mn 54.94 Mn.upf
Sb 121.76 Sb.upf
O 16.00 O.upf
CELL_PARAMETERS angstrom
-2.649 0.235 -1.817
-2.413 -2.097 0.393
-8.044 11.742 13.248
ATOMIC_POSITIONS crystal
Mn 0.321 0.000 0.167
Mn 0.679 0.321 0.833
Mn 0.000 0.679 0.500
Sb 0.000 0.647 0.000
Sb 0.647 0.353 0.333
Sb 0.353 0.000 0.667
O 0.999 0.638 0.889
O 0.364 0.999 0.555
O 0.638 0.364 0.222
O 0.636 0.362 0.445
O 0.001 0.636 0.111
O 0.362 0.001 0.778
```